# 1
12
Lattice="4.903 0.000 0.000 2.451 4.246 0.000 2.451 1.415 6.574" Properties=species:S:1:pos:R:3 comment="PBE BaYNi2H8, relaxed" sg="R-3 (148)" total_energy_ev_per_atom=-4.0850 pbc="T T T"
H 5.818 3.935 5.478
H 7.354 4.246 3.942
H 6.317 2.590 1.096
Ni 2.451 1.415 1.124
H 3.489 3.071 5.478
Y 0.000 0.000 0.000
Ni 7.354 4.246 5.450
H 4.404 4.175 1.096
Ba 4.903 2.831 3.287
H 2.451 1.415 2.632
H 5.402 1.486 5.478
H 3.988 1.726 1.096

***

# 2
5
Lattice="-0.773 -4.234 -1.039 1.864 -1.451 4.526 -4.048 0.306 1.765" Properties=species:S:1:pos:R:3 comment="PBE BaYNiH2, relaxed" sg="P4/mmm (123)" total_energy_ev_per_atom=-3.1959 pbc="T T T"
Ni 0.000 0.000 0.000
H -2.024 0.153 0.883
Ba 0.932 -0.725 2.263
H -0.386 -2.117 -0.519
Y -1.478 -2.689 2.626

***

# 3
10
Lattice="5.658 0.010 0.002 0.010 5.658 0.002 2.835 2.835 3.987" Properties=species:S:1:pos:R:3 comment="PBE Ba2ZnNiH6, relaxed" sg="C2/m (12)" total_energy_ev_per_atom=-3.4249 pbc="T T T"
H 2.831 2.831 1.682
Zn 0.000 0.000 0.000
H 1.642 4.026 0.002
Ba 5.665 2.839 1.995
H 5.673 5.673 2.309
H 1.636 1.636 0.008
Ni 2.834 2.834 0.002
Ba 2.839 5.665 1.995
H 4.026 1.643 0.002
H 6.867 6.868 3.983

***

# 4
5
Lattice="6.100 0.000 0.000 0.000 3.789 0.000 0.000 0.000 6.100" Properties=species:S:1:pos:R:3 comment="PBE Ba2ZnNiH, relaxed" polymorph_energy_ev_per_atom=0.530 sg="P4/mmm (123)" total_energy_ev_per_atom=-2.4008 pbc="T T T"
H 0.000 1.895 0.000
Ba 3.050 0.000 0.000
Zn 0.000 0.000 0.000
Ni 3.050 1.895 3.050
Ba 0.000 0.000 3.050

***

# 5
5
Lattice="-4.277 3.654 -1.053 -3.789 -4.228 0.718 -0.208 0.804 3.637" Properties=species:S:1:pos:R:3 comment="PBE Ba2ZnNiH, relaxed" polymorph_energy_ev_per_atom=0.000 sg="P4/mmm (123)" total_energy_ev_per_atom=-2.9308 pbc="T T T"
Ni -0.104 0.402 1.819
H 0.000 0.000 0.000
Zn -4.137 0.115 1.652
Ba -1.895 -2.114 0.359
Ba -2.139 1.827 -0.526

***

# 6
5
Lattice="4.213 0.000 0.000 0.000 5.174 0.000 0.000 0.000 4.213" Properties=species:S:1:pos:R:3 comment="PBE BaZrNiH2, relaxed" sg="P4/mmm (123)" total_energy_ev_per_atom=-3.3008 pbc="T T T"
H 2.107 0.000 0.000
H 0.000 0.000 2.107
Ba 0.000 2.587 0.000
Ni 0.000 0.000 0.000
Zr 2.107 2.587 2.107